1.
First-principles (PBE-GGA) data for PAu2Se after structural relaxation, as listed in the Alexandria database.

Unit cell a=2.839 b=2.839 c=9.596 alpha=90.00 beta=90.00 gamma=102.61
Sites, in units of the cell vectors:
1 P 0.000 0.000 0.539
2 Au 0.000 0.000 0.983
3 Au 0.500 0.500 0.742
4 Se 0.500 0.500 0.236

Computed properties:
Total energy = -3.48 eV per atom
Energy relative to the elements, uncorrected = 0.3858 eV/atom

2.
First-principles (PBE-GGA) data for P2AuSe after structural relaxation, as listed in the Alexandria database.

Unit cell a=5.574 b=5.574 c=7.251 alpha=108.72 beta=108.72 gamma=28.01
Sites, in units of the cell vectors:
1 Au 0.250 0.250 0.250
2 P 0.893 0.893 0.101
3 P 0.607 0.607 0.399
4 Se 0.750 0.750 0.750

Computed properties:
Total energy = -4.05 eV per atom
Energy relative to the elements, uncorrected = 0.3446 eV/atom

3.
First-principles (PBE-GGA) data for PAuSe2 after structural relaxation, as listed in the Alexandria database.

Unit cell a=3.793 b=2.791 c=7.598 alpha=89.98 beta=90.00 gamma=90.00
Sites, in units of the cell vectors:
1 P 0.500 0.000 0.000
2 Au 0.500 0.000 0.500
3 Se 0.000 0.000 0.241
4 Se 0.000 0.000 0.759

Computed properties:
Total energy = -3.72 eV per atom
Energy relative to the elements, uncorrected = 0.1924 eV/atom

4.
First-principles (PBE-GGA) data for PAuSe2 after structural relaxation, as listed in the Alexandria database.

Unit cell a=8.482 b=8.482 c=2.603 alpha=90.00 beta=90.00 gamma=145.34
Sites, in units of the cell vectors:
1 P 0.500 0.500 0.500
2 Au 0.000 0.000 0.500
3 Se 0.500 0.000 0.000
4 Se 0.000 0.500 0.000

Computed properties:
Total energy = -3.46 eV per atom
Energy relative to the elements, uncorrected = 0.4550 eV/atom

5.
First-principles (PBE-GGA) data for PAu2Se after structural relaxation, as listed in the Alexandria database.

Unit cell a=5.626 b=5.626 c=5.626 alpha=139.31 beta=139.31 gamma=58.90
Sites, in units of the cell vectors:
1 P 0.500 0.500 0.000
2 Au 0.750 0.250 0.500
3 Au 0.250 0.750 0.500
4 Se 0.000 0.000 0.000

Computed properties:
Total energy = -3.39 eV per atom
Energy relative to the elements, uncorrected = 0.4750 eV/atom

6.
First-principles (PBE-GGA) data for PAuSe2 after structural relaxation, as listed in the Alexandria database.

Unit cell a=5.563 b=5.563 c=7.669 alpha=68.74 beta=68.74 gamma=90.00
Sites, in units of the cell vectors:
1 P 0.500 0.500 0.000
2 P 0.250 0.750 0.500
3 Au 0.000 0.000 0.000
4 Au 0.750 0.250 0.500
5 Se 0.598 0.125 0.250
6 Se 0.152 0.625 0.250
7 Se 0.375 0.402 0.750
8 Se 0.875 0.848 0.750

Computed properties:
Total energy = -3.68 eV per atom
Energy relative to the elements, uncorrected = 0.2376 eV/atom

7.
First-principles (PBE-GGA) data for PAuSe after structural relaxation, as listed in the Alexandria database.

Unit cell a=7.732 b=7.541 c=2.910 alpha=82.74 beta=75.34 gamma=21.92
Sites, in units of the cell vectors:
1 P 0.643 0.643 0.357
2 Au 0.009 0.009 0.991
3 Se 0.349 0.349 0.651

Computed properties:
Total energy = -3.51 eV per atom
Energy relative to the elements, uncorrected = 0.5484 eV/atom

8.
First-principles (PBE-GGA) data for P2AuSe after structural relaxation, as listed in the Alexandria database.

Unit cell a=6.147 b=6.147 c=4.109 alpha=80.98 beta=80.98 gamma=31.27
Sites, in units of the cell vectors:
1 Au 0.251 0.251 0.285
2 P 0.076 0.076 0.032
3 P 0.711 0.711 0.791
4 Se 0.462 0.462 0.392

Computed properties:
Total energy = -4.16 eV per atom
Energy relative to the elements, uncorrected = 0.2309 eV/atom

9.
First-principles (PBE-GGA) data for PAuSe after structural relaxation, as listed in the Alexandria database.

Unit cell a=5.742 b=5.742 c=5.742 alpha=146.80 beta=146.80 gamma=47.66
Sites, in units of the cell vectors:
1 P 0.321 0.321 0.000
2 Au 0.981 0.981 0.000
3 Se 0.698 0.698 0.000

Computed properties:
Total energy = -3.51 eV per atom
Energy relative to the elements, uncorrected = 0.5476 eV/atom

10.
First-principles (PBE-GGA) data for PAuSe after structural relaxation, as listed in the Alexandria database.

Unit cell a=6.356 b=6.356 c=6.356 alpha=147.66 beta=147.66 gamma=46.38
Sites, in units of the cell vectors:
1 P 0.450 0.450 0.000
2 Au 0.914 0.914 0.000
3 Se 0.636 0.636 0.000

Computed properties:
Total energy = -3.88 eV per atom
Energy relative to the elements, uncorrected = 0.1745 eV/atom

11.
First-principles (PBE-GGA) data for PAuSe2 after structural relaxation, as listed in the Alexandria database.

Unit cell a=10.014 b=6.648 c=8.243 alpha=54.18 beta=90.00 gamma=90.00
Sites, in units of the cell vectors:
1 P 0.709 0.485 0.234
2 P 0.209 0.015 0.766
3 P 0.291 0.515 0.766
4 P 0.791 0.985 0.234
5 Au 0.422 0.952 0.198
6 Au 0.922 0.548 0.802
7 Au 0.578 0.048 0.802
8 Au 0.078 0.452 0.198
9 Se 0.288 0.612 0.010
10 Se 0.788 0.888 0.990
11 Se 0.712 0.388 0.990
12 Se 0.212 0.112 0.010
13 Se 0.113 0.710 0.573
14 Se 0.613 0.790 0.427
15 Se 0.887 0.290 0.427
16 Se 0.387 0.210 0.573

Computed properties:
Total energy = -3.92 eV per atom
Energy relative to the elements, uncorrected = -0.0055 eV/atom

12.
First-principles (PBE-GGA) data for P2AuSe after structural relaxation, as listed in the Alexandria database.

Unit cell a=2.696 b=5.141 c=5.604 alpha=90.00 beta=90.00 gamma=90.00
Sites, in units of the cell vectors:
1 Au 0.500 0.500 0.750
2 P 0.000 0.000 0.938
3 P 0.000 0.000 0.562
4 Se 0.500 0.500 0.250

Computed properties:
Total energy = -3.87 eV per atom
Energy relative to the elements, uncorrected = 0.5266 eV/atom

13.
First-principles (PBE-GGA) data for P2AuSe6 after structural relaxation, as listed in the Alexandria database.

Unit cell a=7.228 b=6.742 c=6.742 alpha=120.00 beta=90.00 gamma=90.00
Sites, in units of the cell vectors:
1 P 0.939 0.333 0.667
2 P 0.061 0.667 0.333
3 Au 0.000 0.000 0.000
4 Se 0.766 0.661 0.831
5 Se 0.766 0.169 0.831
6 Se 0.766 0.169 0.339
7 Se 0.234 0.339 0.169
8 Se 0.234 0.831 0.169
9 Se 0.234 0.831 0.661

Computed properties:
Total energy = -3.73 eV per atom
Energy relative to the elements, uncorrected = 0.1641 eV/atom

14.
First-principles (PBE-GGA) data for PAu2Se after structural relaxation, as listed in the Alexandria database.

Unit cell a=6.388 b=6.388 c=6.388 alpha=149.76 beta=143.99 gamma=47.71
Sites, in units of the cell vectors:
1 P 0.000 0.500 0.500
2 Au 0.806 0.806 0.000
3 Au 0.194 0.194 0.000
4 Se 0.500 0.000 0.500

Computed properties:
Total energy = -3.49 eV per atom
Energy relative to the elements, uncorrected = 0.3770 eV/atom

15.
First-principles (PBE-GGA) data for PAu2Se after structural relaxation, as listed in the Alexandria database.

Unit cell a=6.761 b=6.761 c=6.761 alpha=31.90 beta=31.90 gamma=31.90
Sites, in units of the cell vectors:
1 P 0.493 0.493 0.493
2 Au 0.000 0.000 0.000
3 Au 0.758 0.758 0.758
4 Se 0.249 0.249 0.249

Computed properties:
Total energy = -3.71 eV per atom
Energy relative to the elements, uncorrected = 0.1520 eV/atom

16.
First-principles (PBE-GGA) data for PAu2Se after structural relaxation, as listed in the Alexandria database.

Unit cell a=2.897 b=3.883 c=7.266 alpha=90.00 beta=90.00 gamma=90.00
Sites, in units of the cell vectors:
1 P 0.000 0.000 0.399
2 Au 0.000 0.000 0.023
3 Au 0.500 0.500 0.277
4 Se 0.500 0.500 0.800

Computed properties:
Total energy = -3.53 eV per atom
Energy relative to the elements, uncorrected = 0.3346 eV/atom

17.
First-principles (PBE-GGA) data for P2AuSe after structural relaxation, as listed in the Alexandria database.

Unit cell a=4.696 b=3.514 c=5.194 alpha=89.99 beta=90.00 gamma=90.00
Sites, in units of the cell vectors:
1 Au 0.500 0.625 0.772
2 P 0.000 0.125 0.166
3 P 0.500 0.125 0.080
4 Se 0.000 0.625 0.483

Computed properties:
Total energy = -4.19 eV per atom
Energy relative to the elements, uncorrected = 0.2089 eV/atom

18.
First-principles (PBE-GGA) data for PAu2Se after structural relaxation, as listed in the Alexandria database.

Unit cell a=5.732 b=5.732 c=5.732 alpha=151.48 beta=122.23 gamma=65.67
Sites, in units of the cell vectors:
1 P 0.000 0.500 0.500
2 Au 0.767 0.767 0.000
3 Au 0.233 0.233 0.000
4 Se 0.500 0.000 0.500

Computed properties:
Total energy = -3.44 eV per atom
Energy relative to the elements, uncorrected = 0.4178 eV/atom

19.
First-principles (PBE-GGA) data for PAuSe2 after structural relaxation, as listed in the Alexandria database.

Unit cell a=5.869 b=5.869 c=5.829 alpha=74.99 beta=74.99 gamma=26.83
Sites, in units of the cell vectors:
1 P 0.856 0.856 0.787
2 Au 0.430 0.430 0.410
3 Se 0.027 0.027 0.935
4 Se 0.187 0.187 0.367

Computed properties:
Total energy = -3.62 eV per atom
Energy relative to the elements, uncorrected = 0.2906 eV/atom

20.
First-principles (PBE-GGA) data for PAuSe2 after structural relaxation, as listed in the Alexandria database.

Unit cell a=7.976 b=7.976 c=7.976 alpha=27.74 beta=27.74 gamma=27.74
Sites, in units of the cell vectors:
1 P 0.500 0.500 0.500
2 Au 0.000 0.000 0.000
3 Se 0.894 0.894 0.894
4 Se 0.106 0.106 0.106

Computed properties:
Total energy = -3.78 eV per atom
Energy relative to the elements, uncorrected = 0.1372 eV/atom

21.
First-principles (PBE-GGA) data for PAu2Se after structural relaxation, as listed in the Alexandria database.

Unit cell a=6.504 b=6.504 c=6.504 alpha=33.97 beta=33.97 gamma=33.97
Sites, in units of the cell vectors:
1 P 0.500 0.500 0.500
2 Au 0.758 0.758 0.758
3 Au 0.242 0.242 0.242
4 Se 0.000 0.000 0.000

Computed properties:
Total energy = -3.72 eV per atom
Energy relative to the elements, uncorrected = 0.1418 eV/atom

22.
First-principles (PBE-GGA) data for PAu2Se after structural relaxation, as listed in the Alexandria database.

Unit cell a=5.107 b=5.107 c=5.107 alpha=131.21 beta=131.21 gamma=71.47
Sites, in units of the cell vectors:
1 P 0.500 0.500 0.000
2 Au 0.000 0.000 0.000
3 Au 0.250 0.750 0.500
4 Se 0.750 0.250 0.500

Computed properties:
Total energy = -3.35 eV per atom
Energy relative to the elements, uncorrected = 0.5166 eV/atom

23.
First-principles (PBE-GGA) data for PAuSe2 after structural relaxation, as listed in the Alexandria database.

Unit cell a=8.658 b=8.658 c=8.658 alpha=155.92 beta=155.92 gamma=34.31
Sites, in units of the cell vectors:
1 P 0.750 0.250 0.500
2 Au 0.500 0.500 0.000
3 Se 0.000 0.000 0.000
4 Se 0.250 0.750 0.500

Computed properties:
Total energy = -3.51 eV per atom
Energy relative to the elements, uncorrected = 0.4064 eV/atom

24.
First-principles (PBE-GGA) data for PAuSe after structural relaxation, as listed in the Alexandria database.

Unit cell a=4.934 b=4.934 c=2.717 alpha=90.00 beta=90.00 gamma=120.00
Sites, in units of the cell vectors:
1 P 0.667 0.333 0.000
2 Au 0.000 0.000 0.000
3 Se 0.333 0.667 0.000

Computed properties:
Total energy = -3.64 eV per atom
Energy relative to the elements, uncorrected = 0.4130 eV/atom

25.
First-principles (PBE-GGA) data for PAu2Se after structural relaxation, as listed in the Alexandria database.

Unit cell a=4.719 b=4.719 c=4.719 alpha=60.00 beta=60.00 gamma=60.00
Sites, in units of the cell vectors:
1 P 0.500 0.500 0.500
2 Au 0.000 0.000 0.000
3 Au 0.750 0.750 0.750
4 Se 0.250 0.250 0.250

Computed properties:
Total energy = -3.29 eV per atom
Energy relative to the elements, uncorrected = 0.5723 eV/atom

26.
First-principles (PBE-GGA) data for P2AuSe after structural relaxation, as listed in the Alexandria database.

Unit cell a=5.633 b=5.633 c=7.125 alpha=66.72 beta=66.72 gamma=90.00
Sites, in units of the cell vectors:
1 P 0.644 0.125 0.250
2 P 0.106 0.625 0.250
3 P 0.375 0.356 0.750
4 P 0.875 0.894 0.750
5 Au 0.000 0.000 0.000
6 Au 0.750 0.250 0.500
7 Se 0.500 0.500 0.000
8 Se 0.250 0.750 0.500

Computed properties:
Total energy = -4.04 eV per atom
Energy relative to the elements, uncorrected = 0.3600 eV/atom

27.
First-principles (PBE-GGA) data for P2AuSe after structural relaxation, as listed in the Alexandria database.

Unit cell a=4.436 b=2.753 c=6.234 alpha=89.87 beta=90.00 gamma=90.00
Sites, in units of the cell vectors:
1 Au 0.500 0.750 0.750
2 P 0.000 0.249 0.934
3 P 0.000 0.251 0.566
4 Se 0.500 0.250 0.250

Computed properties:
Total energy = -3.91 eV per atom
Energy relative to the elements, uncorrected = 0.4813 eV/atom

28.
First-principles (PBE-GGA) data for PAu2Se after structural relaxation, as listed in the Alexandria database.

Unit cell a=2.819 b=2.819 c=9.507 alpha=90.00 beta=90.00 gamma=97.07
Sites, in units of the cell vectors:
1 P 0.500 0.500 0.500
2 Au 0.000 0.000 0.277
3 Au 0.000 0.000 0.723
4 Se 0.500 0.500 0.000

Computed properties:
Total energy = -3.43 eV per atom
Energy relative to the elements, uncorrected = 0.4333 eV/atom

29.
First-principles (PBE-GGA) data for PAu2Se after structural relaxation, as listed in the Alexandria database.

Unit cell a=6.072 b=6.072 c=6.673 alpha=62.94 beta=62.94 gamma=90.00
Sites, in units of the cell vectors:
1 P 0.500 0.500 0.000
2 P 0.250 0.750 0.500
3 Au 0.590 0.125 0.250
4 Au 0.160 0.625 0.250
5 Au 0.375 0.410 0.750
6 Au 0.875 0.840 0.750
7 Se 0.000 0.000 0.000
8 Se 0.750 0.250 0.500

Computed properties:
Total energy = -3.70 eV per atom
Energy relative to the elements, uncorrected = 0.1622 eV/atom